DFT (PBE) results for crystalline Ac2Ge7Pd12 at its relaxed geometry.

Geometry as POSCAR:
```
Ac2Ge7Pd12
1.0
4.088 0.000 0.000
0.000 8.888 -5.131
0.000 0.000 10.262
Pd Ac Ge
12 2 7
Direct
0.500 0.544 0.760
0.000 0.482 0.942
0.500 0.240 0.785
0.000 0.779 0.725
0.500 0.386 0.292
0.500 0.905 0.614
0.000 0.275 0.054
0.000 0.058 0.540
0.500 0.708 0.095
0.500 0.215 0.456
0.000 0.460 0.518
0.000 0.946 0.221
0.500 0.000 0.000
0.000 0.667 0.333
0.000 0.333 0.667
0.500 0.630 0.565
0.000 0.056 0.783
0.000 0.727 0.944
0.500 0.935 0.370
0.500 0.435 0.065
0.000 0.217 0.273
```

Calculated values
The calculation puts the volume at 17.8 A^3/atom. As for the total energy: -5.571 eV/atom. As for the formation energy: -0.673 eV/atom.

DFT (PBE) results for crystalline ScFe2Te at its relaxed geometry.

Geometry as POSCAR:
```
ScFe2Te
1.0
-1.201 -7.331 -0.440
2.805 -0.870 6.837
-1.701 -3.754 4.270
Fe Sc Te
4 2 2
Direct
0.375 0.353 0.750
0.875 0.897 0.750
0.103 0.625 0.250
0.647 0.125 0.250
0.500 0.500 0.000
0.250 0.750 0.500
0.750 0.250 0.500
0.000 0.000 0.000
```

Calculated values
The raw formation energy is 0.33 eV/atom. The calculation puts the volume at 19.0 A^3/atom. As for the total energy: -6.266 eV/atom.

DFT (PBE) results for crystalline Zr4Cu3Rh2 at its relaxed geometry.

Geometry as POSCAR:
```
Zr4Cu3Rh2
1.0
4.482 0.000 0.001
2.240 3.878 0.153
-0.002 -0.357 9.089
Zr Cu Rh
4 3 2
Direct
0.000 0.000 0.343
0.333 0.333 0.118
0.000 0.000 0.657
0.667 0.667 0.882
0.333 0.333 0.507
0.000 0.000 0.000
0.667 0.667 0.493
0.667 0.667 0.187
0.333 0.333 0.813
```

Calculated values
The calculation puts the volume at 17.6 A^3/atom. As for the total energy: -7.159 eV/atom. As for the formation energy: -0.361 eV/atom.

DFT (PBE) results for crystalline KCoTe2 at its relaxed geometry.

Geometry as POSCAR:
```
KCoTe2
1.0
-3.313 4.231 -0.439
-5.308 -0.651 0.681
-2.420 1.995 4.385
K Te Co
1 2 1
Direct
0.750 0.750 0.750
0.000 0.000 0.000
0.250 0.250 0.250
0.500 0.500 0.500
```

Calculated values
The raw formation energy is 0.57 eV/atom. The calculation puts the volume at 27.7 A^3/atom. As for the total energy: -3.049 eV/atom.

DFT (PBE) results for crystalline NdDy3Tm6Sc2 at its relaxed geometry.

Geometry as POSCAR:
```
NdDy3Tm6Sc2
1.0
-0.972 -5.284 -2.717
0.773 0.215 5.967
-11.137 3.023 0.324
Tm Sc Dy Nd
6 2 3 1
Direct
0.418 0.083 0.247
0.746 0.746 0.247
0.917 0.582 0.753
0.083 0.418 0.247
0.582 0.917 0.753
0.254 0.254 0.753
0.333 0.667 0.000
0.667 0.333 0.000
0.500 0.500 0.500
0.167 0.833 0.500
0.833 0.167 0.500
0.000 0.000 0.000
```

Calculated values
The calculation puts the volume at 29.8 A^3/atom. As for the total energy: -4.800 eV/atom. As for the formation energy: 0.038 eV/atom.

DFT (PBE) results for crystalline TaGe2Se8 at its relaxed geometry.

Geometry as POSCAR:
```
TaGe2Se8
1.0
5.637 0.226 0.193
1.096 7.717 -0.578
1.096 0.625 7.713
Se Ge Ta
8 2 1
Direct
0.279 0.237 0.906
0.231 0.778 0.778
0.721 0.094 0.763
0.721 0.763 0.094
0.279 0.906 0.237
0.789 0.542 0.542
0.769 0.222 0.222
0.211 0.458 0.458
0.326 0.225 0.225
0.674 0.775 0.775
0.000 0.000 0.000
```

Calculated values
The raw formation energy is -0.19 eV/atom. The calculation puts the volume at 30.4 A^3/atom. As for the total energy: -4.636 eV/atom.

DFT (PBE) results for crystalline ZnMoS2Cl at its relaxed geometry.

Geometry as POSCAR:
```
ZnMoS2Cl
1.0
-1.302 -2.795 3.507
2.501 -3.484 -1.848
3.958 1.450 2.626
S Mo Zn Cl
2 1 1 1
Direct
0.000 0.500 0.000
0.500 0.000 0.000
0.000 0.000 0.000
0.500 0.500 0.500
0.000 0.000 0.500
```

Calculated values
The raw formation energy is -0.03 eV/atom. The calculation puts the volume at 21.7 A^3/atom. As for the total energy: -4.469 eV/atom. Its distance to the lowest polymorph of the same formula is 0.0000 eV/atom.

DFT (PBE) results for crystalline BeAu3 at its relaxed geometry.

Geometry as POSCAR:
```
BeAu3
1.0
2.967 0.000 0.000
-1.483 2.569 0.000
0.000 0.000 8.400
Au Be
3 1
Direct
0.000 0.000 0.952
0.000 0.000 0.548
0.667 0.333 0.250
0.667 0.333 0.750
```

Calculated values
The calculation puts the volume at 16.0 A^3/atom. As for the total energy: -3.464 eV/atom. As for the formation energy: -0.075 eV/atom.

DFT (PBE) results for crystalline CeCu2Rh at its relaxed geometry.

Geometry as POSCAR:
```
CeCu2Rh
1.0
4.334 -0.235 0.000
-1.417 4.803 0.000
0.000 0.000 6.774
Rh Cu Ce
2 4 2
Direct
0.150 0.413 0.750
0.850 0.587 0.250
0.416 0.744 0.060
0.416 0.744 0.440
0.584 0.256 0.560
0.584 0.256 0.940
0.941 0.831 0.750
0.059 0.169 0.250
```

Calculated values
The calculation puts the volume at 17.3 A^3/atom. As for the total energy: -5.706 eV/atom. As for the formation energy: -0.337 eV/atom.

DFT (PBE) results for crystalline NiSb2P at its relaxed geometry.

Geometry as POSCAR:
```
NiSb2P
1.0
-2.904 -0.085 -1.499
1.054 -2.439 -1.905
-2.313 -4.708 4.748
Ni P Sb
1 1 2
Direct
0.500 0.500 0.000
0.500 0.500 0.500
0.000 0.000 0.768
0.000 0.000 0.232
```

Calculated values
The raw formation energy is 0.34 eV/atom. The calculation puts the volume at 18.9 A^3/atom. As for the total energy: -4.523 eV/atom.

DFT (PBE) results for crystalline TbPm2HoSc at its relaxed geometry.

Geometry as POSCAR:
```
TbPm2HoSc
1.0
7.149 0.000 0.000
0.000 8.207 0.000
0.000 -4.103 5.674
Pm Ho Tb Sc
4 2 2 2
Direct
0.000 0.699 0.000
0.500 0.301 0.000
0.000 0.301 0.000
0.500 0.699 0.000
0.250 0.263 0.526
0.750 0.737 0.474
0.750 0.270 0.540
0.250 0.730 0.460
0.750 0.006 0.012
0.250 0.994 0.988
```

Calculated values
The calculation puts the volume at 33.3 A^3/atom. As for the total energy: -4.641 eV/atom. As for the formation energy: 0.367 eV/atom.